DFT (GGA+U) results for an optimized crystal structure of SrCoSO.

The calculation puts the electronic total energy at -41.84 eV for the cell shown. As for the total moment: 1.2 Bohr magnetons per cell. The calculated density comes out at 4.814 g/cm³.

The structure belongs to space group P4/nmm (No. 129, origin choice 2); the cell edges are 3.610, 3.610 and 10.302 Å and the angles 90.00°, 90.00° and 90.00°. The distinct sites, in fractional coordinates, are Sr at (0.250, 0.250, 0.129), Co at (0.250, 0.750, 0.500), S at (0.250, 0.250, 0.614) and O at (0.250, 0.250, 0.892).



DFT (GGA+U) results for an optimized crystal structure of SrCoSO.

The calculation puts the electronic total energy at -89.05 eV for the cell shown. As for the total moment: 12.0 Bohr magnetons per cell. The calculated density comes out at 4.154 g/cm³.

The structure belongs to space group Cmc2_1 (No. 36); the cell edges are 3.920, 13.328 and 5.956 Å and the angles 90.00°, 90.00° and 90.00°. The distinct sites, in fractional coordinates, are Sr at (0.000, 0.156, 0.000), Co at (0.000, 0.433, 0.081), S at (0.000, 0.164, 0.498) and O at (0.000, 0.444, 0.414).



DFT (GGA+U) results for an optimized crystal structure of SrCoSO.

The calculation puts the electronic total energy at -175.28 eV for the cell shown. As for the total moment: 24.0 Bohr magnetons per cell. The calculated density comes out at 4.205 g/cm³.

The structure belongs to space group Pbca (No. 61); the cell edges are 7.072, 7.254 and 11.986 Å and the angles 90.00°, 90.00° and 90.00°. The distinct sites, in fractional coordinates, are Sr at (0.246, 0.073, 0.218), Co at (0.073, 0.673, 0.931), S at (0.218, 0.104, 0.488) and O at (0.019, 0.683, 0.776).



DFT (GGA+U) results for an optimized crystal structure of SrCoSO.

The calculation puts the electronic total energy at -81.03 eV for the cell shown. As for the total moment: 12.0 Bohr magnetons per cell. The calculated density comes out at 4.756 g/cm³.

The structure belongs to space group Cmcm (No. 63); the cell edges are 3.336, 14.088 and 5.783 Å and the angles 90.00°, 90.00° and 90.00°. The distinct sites, in fractional coordinates, are Sr at (0.000, 0.141, 0.250), Co at (0.000, 0.434, 0.250), S at (0.000, 0.188, 0.750) and O at (0.000, 0.000, 0.000).



DFT (GGA+U) results for an optimized crystal structure of SrCoSO.

The calculation puts the electronic total energy at -42.05 eV for the cell shown. As for the total moment: 6.0 Bohr magnetons per cell. The calculated density comes out at 4.667 g/cm³.

The structure belongs to space group P4/nmm (No. 129, origin choice 2); the cell edges are 4.041, 4.041 and 8.480 Å and the angles 90.00°, 90.00° and 90.00°. The distinct sites, in fractional coordinates, are Sr at (0.250, 0.250, 0.211), Co at (0.250, 0.250, 0.582), S at (0.250, 0.250, 0.851) and O at (0.250, 0.750, 0.500).



DFT (GGA+U) results for an optimized crystal structure of SrCoSO.

The calculation puts the electronic total energy at -86.46 eV for the cell shown. As for the total moment: 12.0 Bohr magnetons per cell. The calculated density comes out at 3.988 g/cm³.

The structure belongs to space group P2_12_12_1 (No. 19); the cell edges are 6.259, 6.863 and 7.546 Å and the angles 90.00°, 90.00° and 90.00°. The distinct sites, in fractional coordinates, are Sr at (0.177, 0.091, 0.384), Co at (0.138, 0.595, 0.459), S at (0.040, 0.310, 0.862) and O at (0.028, 0.898, 0.117).



DFT (GGA+U) results for an optimized crystal structure of SrCoSO.

The calculation puts the electronic total energy at -84.56 eV for the cell shown. As for the total moment: 12.0 Bohr magnetons per cell. The calculated density comes out at 4.376 g/cm³.

The structure belongs to space group Pnma (No. 62); the cell edges are 7.138, 3.459 and 11.965 Å and the angles 90.00°, 90.00° and 90.00°. The distinct sites, in fractional coordinates, are Sr at (0.063, 0.250, 0.217), Co at (0.182, 0.750, 0.457), S at (0.144, 0.250, 0.615) and O at (0.228, 0.750, 0.881).



DFT (GGA+U) results for an optimized crystal structure of SrCoSO.

The calculation puts the electronic total energy at -88.34 eV for the cell shown. As for the total moment: 12.0 Bohr magnetons per cell. The calculated density comes out at 4.590 g/cm³.

The structure belongs to space group Cmcm (No. 63); the cell edges are 3.850, 12.418 and 5.890 Å and the angles 90.00°, 90.00° and 90.00°. The distinct sites, in fractional coordinates, are Sr at (0.000, 0.110, 0.250), Co at (0.000, 0.398, 0.250), S at (0.000, 0.205, 0.750) and O at (0.000, 0.500, 0.000).



DFT (GGA+U) results for an optimized crystal structure of SrCoSO.

The calculation puts the electronic total energy at -82.26 eV for the cell shown. As for the total moment: 0.0 Bohr magnetons per cell. The calculated density comes out at 4.307 g/cm³.

The structure belongs to space group P2_12_12_1 (No. 19); the cell edges are 6.643, 6.712 and 6.732 Å and the angles 90.00°, 90.00° and 90.00°. The distinct sites, in fractional coordinates, are Sr at (0.124, 0.115, 0.382), Co at (0.090, 0.580, 0.579), S at (0.126, 0.365, 0.865) and O at (0.071, 0.921, 0.082).



DFT (GGA+U) results for an optimized crystal structure of SrCoSO.

The calculation puts the electronic total energy at -84.02 eV for the cell shown. As for the total moment: 4.0 Bohr magnetons per cell. The calculated density comes out at 4.282 g/cm³.

The structure belongs to space group Cmc2_1 (No. 36); the cell edges are 3.967, 6.298 and 12.083 Å and the angles 90.00°, 90.00° and 90.00°. The distinct sites, in fractional coordinates, are Sr at (0.000, 0.098, 0.000), Co at (0.000, 0.303, 0.733), S at (0.000, 0.354, 0.306) and O at (0.000, 0.246, 0.580).



DFT (GGA+U) results for an optimized crystal structure of SrCoSO.

The calculation puts the electronic total energy at -37.86 eV for the cell shown. As for the total moment: 0.4 Bohr magnetons per cell. The calculated density comes out at 3.867 g/cm³.

The structure belongs to space group P4/nmm (No. 129, origin choice 2); the cell edges are 3.822, 3.822 and 11.444 Å and the angles 90.00°, 90.00° and 90.00°. The distinct sites, in fractional coordinates, are Sr at (0.250, 0.250, 0.116), Co at (0.250, 0.250, 0.575), S at (0.250, 0.250, 0.377) and O at (0.250, 0.750, 0.000).



DFT (GGA+U) results for an optimized crystal structure of SrCoSO.

The calculation puts the electronic total energy at -87.71 eV for the cell shown. As for the total moment: 12.0 Bohr magnetons per cell. The calculated density comes out at 4.095 g/cm³.

The structure belongs to space group Pca2_1 (No. 29); the cell edges are 6.893, 7.001 and 6.542 Å and the angles 90.00°, 90.00° and 90.00°. The distinct sites, in fractional coordinates, are Sr at (0.096, 0.156, 0.000), Co at (0.055, 0.643, 0.081), S at (0.146, 0.580, 0.746) and O at (0.074, 0.120, 0.625).



DFT (GGA+U) results for an optimized crystal structure of SrCoSO.

The calculation puts the electronic total energy at -42.09 eV for the cell shown. As for the total moment: 6.0 Bohr magnetons per cell. The calculated density comes out at 4.360 g/cm³.

The structure belongs to space group P4/nmm (No. 129, origin choice 2); the cell edges are 4.432, 4.432 and 7.546 Å and the angles 90.00°, 90.00° and 90.00°. The distinct sites, in fractional coordinates, are Sr at (0.250, 0.250, 0.190), Co at (0.250, 0.250, 0.637), S at (0.250, 0.750, 0.500) and O at (0.250, 0.250, 0.882).



DFT (GGA+U) results for an optimized crystal structure of Tb2CoTe2S2O14.

The calculation puts the electronic total energy at -137.68 eV for the cell shown. As for the total moment: 3.0 Bohr magnetons per cell. The calculated density comes out at 5.495 g/cm³.

The structure belongs to space group P-1 (No. 2); the cell edges are 5.235, 7.761 and 8.005 Å and the angles 63.49°, 73.12° and 85.40°. The distinct sites, in fractional coordinates, are Tb at (0.070, 0.252, 0.016), Co at (0.000, 0.000, 0.500), Te at (0.495, 0.732, 0.651), S at (0.250, 0.750, 0.256), O at (0.123, 0.583, 0.261), O at (0.137, 0.767, 0.439), O at (0.189, 0.922, 0.088), O at (0.251, 0.561, 0.890), O at (0.261, 0.935, 0.663), O at (0.273, 0.192, 0.247) and O at (0.459, 0.269, 0.774).



DFT (GGA+U) results for an optimized crystal structure of ZnCoSO.

The value obtained for the excess energy over the best structure of this formula in the dataset is 877 meV/atom. As for the total moment: 4.8 Bohr magnetons per cell. The calculated density comes out at 4.392 g/cm³.

The structure belongs to space group P4/nmm (No. 129, origin choice 2); the cell edges are 3.861, 3.861 and 8.745 Å and the angles 90.00°, 90.00° and 90.00°. The distinct sites, in fractional coordinates, are Zn at (0.250, 0.250, 0.170), Co at (0.250, 0.250, 0.600), S at (0.250, 0.750, 0.000) and O at (0.250, 0.250, 0.381).



DFT (GGA+U) results for an optimized crystal structure of ZnCoSO.

The value obtained for the excess energy over the best structure of this formula in the dataset is 368 meV/atom. As for the total moment: 2.1 Bohr magnetons per cell. The calculated density comes out at 4.959 g/cm³.

The structure belongs to space group P4/nmm (No. 129, origin choice 2); the cell edges are 3.656, 3.656 and 8.638 Å and the angles 90.00°, 90.00° and 90.00°. The distinct sites, in fractional coordinates, are Zn at (0.250, 0.250, 0.125), Co at (0.250, 0.250, 0.559), S at (0.250, 0.250, 0.839) and O at (0.250, 0.750, 0.500).



DFT (GGA+U) results for an optimized crystal structure of ZnCoSO.

The value obtained for the excess energy over the best structure of this formula in the dataset is 136 meV/atom. As for the total moment: 6.0 Bohr magnetons per cell. The calculated density comes out at 4.977 g/cm³.

The structure belongs to space group P6_3mc (No. 186); the cell edges are 3.4387, 3.4387 and 11.2350 Å and the angles 90.00°, 90.00° and 120.00°. The distinct sites, in fractional coordinates, are Zn at (0.3333, 0.6667, 0.0000), Co at (0.0000, 0.0000, 0.2315), S at (0.3333, 0.6667, 0.3328) and O at (0.0000, 0.0000, 0.0604).



DFT (GGA+U) results for an optimized crystal structure of ZnCoSO.

The value obtained for the excess energy over the best structure of this formula in the dataset is 425 meV/atom. As for the total moment: 11.4 Bohr magnetons per cell. The calculated density comes out at 5.487 g/cm³.

The structure belongs to space group Cmcm (No. 63); the cell edges are 3.181, 11.933 and 5.498 Å and the angles 90.00°, 90.00° and 90.00°. The distinct sites, in fractional coordinates, are Zn at (0.000, 0.072, 0.250), Co at (0.000, 0.368, 0.250), S at (0.000, 0.272, 0.750) and O at (0.000, 0.500, 0.000).



DFT (GGA+U) results for an optimized crystal structure of ZnCoSO.

The value obtained for the excess energy over the best structure of this formula in the dataset is 49 meV/atom. As for the total moment: 12.0 Bohr magnetons per cell. The calculated density comes out at 4.944 g/cm³.

The structure belongs to space group Cmc2_1 (No. 36); the cell edges are 3.357, 12.359 and 5.582 Å and the angles 90.00°, 90.00° and 90.00°. The distinct sites, in fractional coordinates, are Zn at (0.000, 0.065, 0.000), Co at (0.000, 0.331, 0.925), S at (0.000, 0.321, 0.350) and O at (0.000, 0.078, 0.353).



DFT (GGA+U) results for an optimized crystal structure of ZnCoSO.

The value obtained for the excess energy over the best structure of this formula in the dataset is 0 meV/atom. As for the total moment: 12.0 Bohr magnetons per cell. The calculated density comes out at 4.497 g/cm³.

The structure belongs to space group P2_12_12_1 (No. 19); the cell edges are 5.845, 6.177 and 7.052 Å and the angles 90.00°, 90.00° and 90.00°. The distinct sites, in fractional coordinates, are Zn at (0.069, 0.163, 0.147), Co at (0.125, 0.219, 0.596), S at (0.028, 0.855, 0.626) and O at (0.036, 0.832, 0.128).



DFT (GGA+U) results for an optimized crystal structure of ZnCoSO.

The value obtained for the excess energy over the best structure of this formula in the dataset is 103 meV/atom. As for the total moment: 6.0 Bohr magnetons per cell. The calculated density comes out at 4.998 g/cm³.

The structure belongs to space group P6_3mc (No. 186); the cell edges are 3.4486, 3.4486 and 11.1227 Å and the angles 90.00°, 90.00° and 120.00°. The distinct sites, in fractional coordinates, are Zn at (0.0000, 0.0000, 0.0000), Co at (0.3333, 0.6667, 0.2658), S at (0.3333, 0.6667, 0.6064) and O at (0.0000, 0.0000, 0.3277).



Number 1: V 16.78 A^3/atom. Number 2: V 19.45 A^3/atom. Number 3: V 19.22 A^3/atom. Number 4: V 16.99 A^3/atom. Number 5: V 17.31 A^3/atom. Number 6: V 20.26 A^3/atom. Number 7: V 18.46 A^3/atom. Number 8: V 17.60 A^3/atom. Number 9: V 18.76 A^3/atom. Number 10: V 18.87 A^3/atom. Number 11: V 20.89 A^3/atom. Number 12: V 19.73 A^3/atom. Number 13: V 18.53 A^3/atom. Number 14: V 13.24 A^3/atom. Number 15: V 16.29 A^3/atom. Number 16: V 14.43 A^3/atom. Number 17: V 14.38 A^3/atom. Number 18: V 13.04 A^3/atom. Number 19: V 14.48 A^3/atom. Number 20: V 15.91 A^3/atom. Number 21: V 14.32 A^3/atom.